Version one
A plane-wave DFT calculation with PBE-GGA was carried out for an optimized crystal structure of BaIrSe2.

```
BaIrSe2
1.0
0.0000 3.6028 3.6028
3.6028 0.0000 3.6028
3.6028 3.6028 0.0000
Ba Ir Se
1 1 2
Direct
0.0000 0.0000 0.0000
0.5000 0.5000 0.5000
0.2500 0.2500 0.2500
0.7500 0.7500 0.7500
```

M_tot: 1.124 μB/f.u.
SG: Fm-3m
crystal system: cubic
mass density: 8.654 g cm⁻³

Version two
A plane-wave DFT calculation with PBE-GGA was carried out for an optimized crystal structure of BaIrSe2.

```
BaIrSe2
1.0
5.2572 0.0000 0.0000
0.0000 3.9347 0.0000
-1.1936 0.0000 5.1465
Ba Ir Se
1 1 2
Direct
0.0000 0.0000 0.0000
0.5000 0.0000 0.5000
0.3180 0.5000 0.6833
0.6820 0.5000 0.3167
```

M_tot: 0.000 μB/f.u.
SG: P2/m
crystal system: monoclinic
mass density: 7.603 g cm⁻³

Version three
A plane-wave DFT calculation with PBE-GGA was carried out for an optimized crystal structure of BaIrSe2.

```
BaIrSe2
1.0
4.8060 0.0000 0.0000
0.0000 4.7346 0.0000
-0.1615 0.0000 4.8448
Ba Ir Se
1 1 2
Direct
0.0000 0.0000 0.0000
0.4160 0.5000 0.6296
0.5004 0.0000 0.5121
0.9262 0.5000 0.4787
```

M_tot: 0.000 μB/f.u.
SG: Pm
crystal system: monoclinic
mass density: 7.343 g cm⁻³

Version four
A plane-wave DFT calculation with PBE-GGA was carried out for an optimized crystal structure of BaIrSe2.

```
BaIrSe2
1.0
3.4899 0.0000 0.0000
0.0000 3.4899 0.0000
0.0000 0.0000 7.4773
Ba Ir Se
1 1 2
Direct
0.0000 0.0000 0.0000
0.0000 0.0000 0.5000
0.5000 0.5000 0.3073
0.5000 0.5000 0.6927
```

M_tot: 0.000 μB/f.u.
SG: P4/mmm
crystal system: tetragonal
mass density: 8.888 g cm⁻³

The structure with the least stability is version four.

Version one
A plane-wave DFT calculation with PBE-GGA was carried out for an optimized crystal structure of BaIrSe2.

```
BaIrSe2
1.0
5.0878 0.0000 0.0000
0.0000 5.0878 0.0000
0.0000 0.0000 3.5893
Ba Ir Se
1 1 2
Direct
0.0000 0.0000 0.0000
0.5000 0.5000 0.0000
0.0000 0.5000 0.5000
0.5000 0.0000 0.5000
```

M_tot: 0.000 μB/f.u.
SG: P4/mmm
crystal system: tetragonal
mass density: 8.712 g cm⁻³

Version two
A plane-wave DFT calculation with PBE-GGA was carried out for an optimized crystal structure of BaIrSe2.

```
BaIrSe2
1.0
2.9583 1.7080 3.6786
-2.9583 1.7080 3.6786
0.0000 -3.4160 3.6786
Ba Ir Se
1 1 2
Direct
0.0000 0.0000 0.0000
0.5000 0.5000 0.5000
0.2909 0.2909 0.2909
0.7091 0.7091 0.7091
```

M_tot: 0.000 μB/f.u.
SG: R-3m
crystal system: trigonal
mass density: 7.258 g cm⁻³

The structure with the least stability is version one.